# Al2PRh GGA-PBE relaxed
# - Total moment: 0.00 μB/cell
# - Symmetry: C2/m, No. 12
# - D(E_F): 1.07 states/eV per cell
# - Formation enthalpy at 0 K: -315 meV per atom
data_Al2PRh
_chemical_formula_sum 'Al2 P1 Rh1'
_symmetry_space_group_name_H-M 'P 1'
_symmetry_Int_Tables_number 1
_cell_length_a 4.546
_cell_length_b 4.546
_cell_length_c 4.542
_cell_angle_alpha 98.02
_cell_angle_beta 98.02
_cell_angle_gamma 38.43
loop_
_symmetry_equiv_pos_as_xyz
'x,y,z'
loop_
_atom_site_label
_atom_site_fract_x
_atom_site_fract_y
_atom_site_fract_z
Al1 0.241 0.241 0.245
Al2 0.759 0.759 0.755
P1 0.000 0.000 0.500
Rh1 0.500 0.500 0.000